# Na2VHgO (PBE+U, relaxed)
# **Calculated total energy**: -0.0760 Ha/atom
data_Na2VHgO
_chemical_formula_sum 'Na2 V1 Hg1 O1'
_space_group_name_H-M_alt 'P 4/m m m'
_space_group_IT_number 123
_space_group_name_Hall '-P 4 2'
_cell_length_a 5.9732
_cell_length_b 5.9732
_cell_length_c 5.3241
_cell_angle_alpha 90.00
_cell_angle_beta 90.00
_cell_angle_gamma 90.00
loop_
_atom_site_label
_atom_site_type_symbol
_atom_site_fract_x
_atom_site_fract_y
_atom_site_fract_z
_atom_site_occupancy
Na1 Na 0.0000 0.5000 0.0000 1
V1 V 0.0000 0.0000 0.0000 1
Hg1 Hg 0.0000 0.0000 0.5000 1
O1 O 0.5000 0.5000 0.5000 1